1.
Here is La4PmPr after structural relaxation from Alexandria. Energies are from PBE.

- E above lowest polymorph (meV per atom) = 0
- total moment (μB/atom) = 0.00
- E (eV per atom) = -4.74
- E_form (eV per atom) = 0.1369
- Fermi-level density of states (states/eV/f.u.) = 9.99

extended XYZ file:
```
6
Lattice="3.3387 -8.9669 0.0000 3.3387 8.9669 0.0000 -0.0165 0.0000 3.6221" Properties=species:S:1:pos:R:3 pbc="T T T"
La 1.6587 2.9476 1.0691
La 1.6587 -2.9476 1.0691
La 5.0022 2.9476 2.5530
La 5.0022 -2.9476 2.5530
Pm 0.0000 0.0000 0.0000
Pr 3.3387 0.0000 0.0000
```

***

2.
Here is Hf3HgH3 after structural relaxation from Alexandria. Energies are from PBE.

- total moment (μB/atom) = 0.00
- E (eV per atom) = -6.06
- Fermi-level density of states (states/eV/f.u.) = 3.40

extended XYZ file:
```
14
Lattice="5.6989 0.0000 0.0000 0.0000 5.6989 0.0000 0.0000 0.0000 5.6989" Properties=species:S:1:pos:R:3 pbc="T T T"
Hf 0.0000 1.4247 2.8494
Hf 0.0000 4.2741 2.8494
Hf 1.4247 2.8494 0.0000
Hf 2.8494 0.0000 1.4247
Hf 2.8494 0.0000 4.2741
Hf 4.2741 2.8494 0.0000
Hg 0.0000 0.0000 0.0000
Hg 2.8494 2.8494 2.8494
H 0.0000 2.8494 1.4247
H 0.0000 2.8494 4.2741
H 1.4247 0.0000 2.8494
H 2.8494 1.4247 0.0000
H 2.8494 4.2741 0.0000
H 4.2741 0.0000 2.8494
```

***

3.
Here is CaCdCo after structural relaxation from Alexandria. Energies are from PBE.

- total moment (μB/atom) = 0.33
- E (eV per atom) = -3.16
- E_form (eV per atom) = 0.1830
- Fermi-level density of states (states/eV/f.u.) = 3.55

extended XYZ file:
```
3
Lattice="-1.7335 1.7335 5.2461 1.7335 -1.7335 5.2461 1.7335 1.7335 -5.2461" Properties=species:S:1:pos:R:3 pbc="T T T"
Ca 0.0000 0.0000 0.0000
Cd 0.0000 0.0000 3.0309
Co 0.0000 0.0000 7.1286
```